[1]
First-principles (PBEsol) data for a relaxed structure of LiCd2Sn2, as listed in the Alexandria database.

Output
- Space-group type: I4/mmm
- Magnetization: 0.0 μB/f.u.
- E_form: -1.7 kJ/mol of atoms

Unit cell a=4.5868 b=4.5868 c=12.4712 alpha=90.00 beta=90.00 gamma=90.00
With the nearest neighbours (Å) after each atom.
Element x y z (fractional)
Li 0.0000 0.0000 0.0000  8 Sn 3.52, 8 Cd 3.87
Li 0.5000 0.5000 0.5000  8 Sn 3.52, 8 Cd 3.87
Cd 0.0000 0.5000 0.2500  4 Sn 2.88
Cd 0.0000 0.5000 0.7500  4 Sn 2.88
Cd 0.5000 0.0000 0.2500  4 Sn 2.88
Cd 0.5000 0.0000 0.7500  4 Sn 2.88
Sn 0.0000 0.0000 0.3893  1 Sn 2.76, 4 Cd 2.88
Sn 0.0000 0.0000 0.6107  1 Sn 2.76, 4 Cd 2.88
Sn 0.5000 0.5000 0.1107  1 Sn 2.76, 4 Cd 2.88
Sn 0.5000 0.5000 0.8893  1 Sn 2.76, 4 Cd 2.88

=====

[2]
First-principles (PBEsol) data for a relaxed structure of LiCdSn3, as listed in the Alexandria database.

Output
- Space-group type: Pm-3m
- Magnetization: 0.0 μB/f.u.
- E_form: 20.4 kJ/mol of atoms

Unit cell a=4.9906 b=4.9906 c=4.9906 alpha=90.00 beta=90.00 gamma=90.00
With the nearest neighbours (Å) after each atom.
Element x y z (fractional)
Li 0.0000 0.0000 0.0000  6 Sn 2.50
Cd 0.5000 0.5000 0.5000  12 Sn 3.53
Sn 0.0000 0.0000 0.5000  2 Li 2.50
Sn 0.0000 0.5000 0.0000  2 Li 2.50
Sn 0.5000 0.0000 0.0000  2 Li 2.50

=====

[3]
First-principles (PBEsol) data for a relaxed structure of LiTiCd2Sn, as listed in the Alexandria database.

Output
- Space-group type: P4/mmm
- Magnetization: 2.6 μB/f.u.
- E_form: 80.9 kJ/mol of atoms

Unit cell a=5.2250 b=5.2250 c=4.9365 alpha=90.00 beta=90.00 gamma=90.00
With the nearest neighbours (Å) after each atom.
Element x y z (fractional)
Li 0.0000 0.0000 0.0000  2 Ti 2.47
Ti 0.0000 0.0000 0.5000  2 Li 2.47, 4 Cd 2.61
Cd 0.0000 0.5000 0.5000  2 Ti 2.61
Cd 0.5000 0.0000 0.5000  2 Ti 2.61
Sn 0.5000 0.5000 0.0000  8 Cd 3.59, 4 Li 3.69

=====

[4]
First-principles (PBEsol) data for a relaxed structure of Sr2Li2Cd, as listed in the Alexandria database.

Output
- Space-group type: P4/mbm
- Magnetization: 0.0 μB/f.u.
- Energy relative to the lowest polymorph listed for this composition: 2.07 kJ per mole of atoms
- E_form: -4.6 kJ/mol of atoms

Unit cell a=7.7676 b=7.7676 c=5.1098 alpha=90.00 beta=90.00 gamma=90.00
With the nearest neighbours (Å) after each atom.
Element x y z (fractional)
Sr 0.1866 0.3134 0.0000  6 Li 3.26-3.57
Sr 0.3134 0.8134 0.0000  6 Li 3.26-3.57
Sr 0.6866 0.1866 0.0000  6 Li 3.26-3.57
Sr 0.8134 0.6866 0.0000  6 Li 3.26-3.57
Li 0.1285 0.6285 0.5000  1 Li 2.82, 2 Cd 3.05
Li 0.3715 0.1285 0.5000  1 Li 2.82, 2 Cd 3.05
Li 0.6285 0.8715 0.5000  1 Li 2.82, 2 Cd 3.05
Li 0.8715 0.3715 0.5000  1 Li 2.82, 2 Cd 3.05
Cd 0.0000 0.0000 0.5000  4 Li 3.05
Cd 0.5000 0.5000 0.5000  4 Li 3.05

=====

[5]
First-principles (PBEsol) data for a relaxed structure of Sr2LiCd, as listed in the Alexandria database.

Output
- Space-group type: Imm2
- Magnetization: 0.0 μB/f.u.
- E_form: -11.5 kJ/mol of atoms

Unit cell a=4.0087 b=5.6820 c=11.6724 alpha=90.00 beta=90.00 gamma=90.00
With the nearest neighbours (Å) after each atom.
Element x y z (fractional)
Sr 0.0000 0.0000 0.0000  4 Cd 3.51, 2 Sr 3.73, 4 Li 3.78-3.89
Sr 0.0000 0.5000 0.2076  2 Cd 3.53, 4 Li 3.59, 2 Sr 3.73
Sr 0.5000 0.0000 0.7076  2 Cd 3.53, 4 Li 3.59, 2 Sr 3.73
Sr 0.5000 0.5000 0.5000  4 Cd 3.51, 2 Sr 3.73, 4 Li 3.78-3.89
Li 0.0000 0.5000 0.7858  2 Cd 2.85
Li 0.5000 0.0000 0.2858  2 Cd 2.85
Cd 0.0000 0.0000 0.4591  2 Li 2.85
Cd 0.5000 0.5000 0.9591  2 Li 2.85

=====

[6]
First-principles (PBEsol) data for a relaxed structure of Sr2LiCd, as listed in the Alexandria database.

Output
- Space-group type: P4/mmm
- Magnetization: 0.0 μB/f.u.
- E_form: -14.8 kJ/mol of atoms

Unit cell a=5.6691 b=5.6691 c=4.1090 alpha=90.00 beta=90.00 gamma=90.00
With the nearest neighbours (Å) after each atom.
Element x y z (fractional)
Sr 0.0000 0.5000 0.0000  4 Cd 3.50, 4 Li 3.50
Sr 0.5000 0.0000 0.0000  4 Cd 3.50, 4 Li 3.50
Li 0.0000 0.0000 0.5000  8 Sr 3.50
Cd 0.5000 0.5000 0.5000  8 Sr 3.50